Entry 1:
Here is crystalline Dy3Mg3CdIn2 at its relaxed geometry from the Open Quantum Materials Database. Energies are from PBE.

Summary:
Calculated total energy   -3.124 eV per atom
Total moment   0.002 μB/f.u.
Theoretical density   6.600 g/cm³

Structure (CIF):
```
data_Dy3Mg3CdIn2
_space_group_name_H-M_alt 'P -6 2 m'
_space_group_IT_number 189
_space_group_name_Hall 'P -6 -2'
_cell_length_a 7.5574
_cell_length_b 7.5574
_cell_length_c 4.5908
_cell_angle_alpha 90.00
_cell_angle_beta 90.00
_cell_angle_gamma 120.00
loop_
_atom_site_label
_atom_site_fract_x
_atom_site_fract_y
_atom_site_fract_z
Dy1 0.0000 0.5738 0.0000
Mg1 0.0000 0.2413 0.5000
Cd1 0.0000 0.0000 0.0000
In1 0.3333 0.6667 0.5000
```



Entry 2:
Here is crystalline Nd2DyMg3CdIn2 at its relaxed geometry from the Open Quantum Materials Database. Energies are from PBE.

Summary:
Calculated total energy   -3.176 eV per atom
Total moment   0.005 μB/f.u.
Theoretical density   6.053 g/cm³

Structure (CIF):
```
data_Nd2DyMg3CdIn2
_space_group_name_H-M_alt 'A m m 2'
_space_group_IT_number 38
_cell_length_a 4.709
_cell_length_b 13.135
_cell_length_c 7.682
_cell_angle_alpha 90.00
_cell_angle_beta 90.00
_cell_angle_gamma 90.00
loop_
_space_group_symop_operation_xyz
'x,y,z'
'-x,-y,z'
'-x,y,z'
'x,-y,z'
'x,y+1/2,z+1/2'
'-x,-y+1/2,z+1/2'
'-x,y+1/2,z+1/2'
'x,-y+1/2,z+1/2'
loop_
_atom_site_label
_atom_site_fract_x
_atom_site_fract_y
_atom_site_fract_z
Nd1 0.000 0.212 0.000
Dy1 0.000 0.000 0.365
Mg1 0.500 0.000 0.026
Mg2 0.500 0.120 0.666
Cd1 0.000 0.000 0.780
In1 0.500 0.163 0.289
```



Entry 3:
Here is crystalline Pr2DyMg3CdIn2 at its relaxed geometry from the Open Quantum Materials Database. Energies are from PBE.

Summary:
Calculated total energy   -3.178 eV per atom
Total moment   0.004 μB/f.u.
Theoretical density   5.911 g/cm³

Structure (CIF):
```
data_Pr2DyMg3CdIn2
_space_group_name_H-M_alt 'A m m 2'
_space_group_IT_number 38
_cell_length_a 4.738
_cell_length_b 13.176
_cell_length_c 7.734
_cell_angle_alpha 90.00
_cell_angle_beta 90.00
_cell_angle_gamma 90.00
loop_
_space_group_symop_operation_xyz
'x,y,z'
'-x,-y,z'
'-x,y,z'
'x,-y,z'
'x,y+1/2,z+1/2'
'-x,-y+1/2,z+1/2'
'-x,y+1/2,z+1/2'
'x,-y+1/2,z+1/2'
loop_
_atom_site_label
_atom_site_fract_x
_atom_site_fract_y
_atom_site_fract_z
Pr1 0.000 0.211 0.000
Dy1 0.000 0.000 0.366
Mg1 0.500 0.000 0.026
Mg2 0.500 0.120 0.666
Cd1 0.000 0.000 0.778
In1 0.500 0.163 0.289
```



Entry 4:
Here is crystalline SmDy2Mg3CdIn2 at its relaxed geometry from the Open Quantum Materials Database. Energies are from PBE.

Summary:
Calculated total energy   -3.144 eV per atom
Total moment   0.005 μB/f.u.
Theoretical density   6.408 g/cm³

Structure (CIF):
```
data_SmDy2Mg3CdIn2
_space_group_name_H-M_alt 'A m m 2'
_space_group_IT_number 38
_cell_length_a 4.663
_cell_length_b 13.177
_cell_length_c 7.510
_cell_angle_alpha 90.00
_cell_angle_beta 90.00
_cell_angle_gamma 90.00
loop_
_space_group_symop_operation_xyz
'x,y,z'
'-x,-y,z'
'-x,y,z'
'x,-y,z'
'x,y+1/2,z+1/2'
'-x,-y+1/2,z+1/2'
'-x,y+1/2,z+1/2'
'x,-y+1/2,z+1/2'
loop_
_atom_site_label
_atom_site_fract_x
_atom_site_fract_y
_atom_site_fract_z
Sm1 0.000 0.000 0.000
Dy1 0.000 0.213 0.637
Mg1 0.500 0.000 0.667
Mg2 0.500 0.120 0.306
Cd1 0.000 0.000 0.432
In1 0.500 0.168 0.924
```



Entry 5:
Here is crystalline Dy3Mg3TlCdIn at its relaxed geometry from the Open Quantum Materials Database. Energies are from PBE.

Summary:
Calculated total energy   -3.061 eV per atom
Total moment   0.001 μB/f.u.
Theoretical density   7.219 g/cm³

Structure (CIF):
```
data_Dy3Mg3TlCdIn
_space_group_name_H-M_alt 'P -6'
_space_group_IT_number 174
_cell_length_a 7.5642
_cell_length_b 7.5642
_cell_length_c 4.6050
_cell_angle_alpha 90.00
_cell_angle_beta 90.00
_cell_angle_gamma 120.00
loop_
_space_group_symop_operation_xyz
'x,y,z'
'-x+y,-x,-z'
'-y,x-y,z'
'x,y,-z'
'-x+y,-x,z'
'-y,x-y,-z'
loop_
_atom_site_label
_atom_site_fract_x
_atom_site_fract_y
_atom_site_fract_z
Dy1 0.9998 0.5737 0.0000
Mg1 0.9998 0.2410 0.5000
Tl1 0.3333 0.6667 0.5000
Cd1 0.0000 0.0000 0.0000
In1 0.6667 0.3333 0.5000
```



Entry 6:
Here is crystalline Dy2TmMg3CdIn2 at its relaxed geometry from the Open Quantum Materials Database. Energies are from PBE.

Summary:
Calculated total energy   -3.099 eV per atom
Total moment   0.002 μB/f.u.
Theoretical density   6.682 g/cm³

Structure (CIF):
```
data_Dy2TmMg3CdIn2
_space_group_name_H-M_alt 'A m m 2'
_space_group_IT_number 38
_cell_length_a 4.623
_cell_length_b 12.966
_cell_length_c 7.536
_cell_angle_alpha 90.00
_cell_angle_beta 90.00
_cell_angle_gamma 90.00
loop_
_space_group_symop_operation_xyz
'x,y,z'
'-x,-y,z'
'-x,y,z'
'x,-y,z'
'x,y+1/2,z+1/2'
'-x,-y+1/2,z+1/2'
'-x,y+1/2,z+1/2'
'x,-y+1/2,z+1/2'
loop_
_atom_site_label
_atom_site_fract_x
_atom_site_fract_y
_atom_site_fract_z
Dy1 0.000 0.214 0.000
Tm1 0.000 0.000 0.359
Mg1 0.500 0.000 0.026
Mg2 0.500 0.120 0.665
Cd1 0.000 0.000 0.783
In1 0.500 0.165 0.286
```



Entry 7:
Here is crystalline NdDy2Cd4In2 at its relaxed geometry from the Open Quantum Materials Database. Energies are from PBE.

Summary:
Calculated total energy   -2.965 eV per atom
Total moment   0.010 μB/f.u.
Theoretical density   8.348 g/cm³

Structure (CIF):
```
data_NdDy2Cd4In2
_space_group_name_H-M_alt 'A m m 2'
_space_group_IT_number 38
_cell_length_a 4.649
_cell_length_b 13.135
_cell_length_c 7.482
_cell_angle_alpha 90.00
_cell_angle_beta 90.00
_cell_angle_gamma 90.00
loop_
_space_group_symop_operation_xyz
'x,y,z'
'-x,-y,z'
'-x,y,z'
'x,-y,z'
'x,y+1/2,z+1/2'
'-x,-y+1/2,z+1/2'
'-x,y+1/2,z+1/2'
'x,-y+1/2,z+1/2'
loop_
_atom_site_label
_atom_site_fract_x
_atom_site_fract_y
_atom_site_fract_z
Nd1 0.000 0.000 0.000
Dy1 0.000 0.213 0.637
Cd1 0.000 0.000 0.433
Cd2 0.500 0.000 0.669
Cd3 0.500 0.121 0.305
In1 0.500 0.169 0.924
```



Entry 8:
Here is crystalline Nd2DyCd4In2 at its relaxed geometry from the Open Quantum Materials Database. Energies are from PBE.

Summary:
Calculated total energy   -2.996 eV per atom
Total moment   0.020 μB/f.u.
Theoretical density   8.035 g/cm³

Structure (CIF):
```
data_Nd2DyCd4In2
_space_group_name_H-M_alt 'A m m 2'
_space_group_IT_number 38
_cell_length_a 4.680
_cell_length_b 13.058
_cell_length_c 7.645
_cell_angle_alpha 90.00
_cell_angle_beta 90.00
_cell_angle_gamma 90.00
loop_
_space_group_symop_operation_xyz
'x,y,z'
'-x,-y,z'
'-x,y,z'
'x,-y,z'
'x,y+1/2,z+1/2'
'-x,-y+1/2,z+1/2'
'-x,y+1/2,z+1/2'
'x,-y+1/2,z+1/2'
loop_
_atom_site_label
_atom_site_fract_x
_atom_site_fract_y
_atom_site_fract_z
Nd1 0.000 0.211 0.000
Dy1 0.000 0.000 0.364
Cd1 0.000 0.000 0.780
Cd2 0.500 0.000 0.027
Cd3 0.500 0.121 0.666
In1 0.500 0.164 0.288
```



What is the formula in the second record? Nd2DyMg3CdIn2